(1)
A plane-wave DFT calculation with PBE was carried out for a relaxed PuTl3Pb6 crystal.

Values from the calculation:
theoretical density = 10.638 g cm⁻³
DFT formation energy = 0.75 eV per formula unit
M_tot = 5.89 μB/f.u.

Cell: 6.5027 6.5027 8.9526 Å, 90.00 90.00 120.00°
Space group P-31m (No. 162)
Asymmetric unit:
1 Pu 0.0000 0.0000 0.0000 x1
2 Tl 0.0000 0.0000 0.5000 x1
3 Tl 0.3333 0.6667 0.5000 x2
4 Pb 0.0000 0.4548 0.8189 x6


(2)
A plane-wave DFT calculation with PBE was carried out for a relaxed KRb2N6 crystal.

Values from the calculation:
theoretical density = 2.302 g cm⁻³
E_form (uncorrected) = -0.084 eV/atom
M_tot = 0.62 μB/f.u.

Cell: 6.4647 6.4647 5.8596 Å, 90.00 90.00 120.00°
Space group P6/mmm (No. 191)
Asymmetric unit:
1 K 0.0000 0.0000 0.0000 x1
2 Rb 0.3333 0.6667 0.5000 x2
3 N 0.0000 0.5000 0.0993 x6


(3)
A plane-wave DFT calculation with PBE was carried out for a relaxed Sr5Pr3Te8 crystal.

Values from the calculation:
theoretical density = 5.494 g cm⁻³
E_form (uncorrected) = -1.602 eV/atom
M_tot = 0.00 μB/f.u.

Cell: 9.2548 9.2548 23.0017 Å, 90.00 90.00 120.00°
Space group R-3m (No. 166, hexagonal axes)
Asymmetric unit:
1 Sr 0.0000 0.0000 0.0000 x3
2 Sr 0.0000 0.0000 0.5000 x3
3 Sr 0.0000 0.5000 0.0000 x9
4 Pr 0.0000 0.5000 0.5000 x9
5 Te 0.0000 0.0000 0.2476 x6
6 Te 0.0039 0.5020 0.7519 x18


(4)
A plane-wave DFT calculation with PBE was carried out for a relaxed InGeSCl2 crystal.

Values from the calculation:
energy relative to the lowest polymorph listed for this composition = 0.000 eV/atom
theoretical density = 3.785 g cm⁻³
E_form (uncorrected) = -0.434 eV/atom
M_tot = 0.00 μB/f.u.

Cell: 5.216 5.216 4.683 Å, 90.00 90.00 90.00°
Space group P4/mmm (No. 123)
Asymmetric unit:
1 In 0.000 0.000 0.000 x1
2 Ge 0.500 0.500 0.500 x1
3 S 0.500 0.500 0.000 x1
4 Cl 0.000 0.500 0.500 x2


(5)
A plane-wave DFT calculation with PBE was carried out for a relaxed PrBrCl crystal.

Values from the calculation:
theoretical density = 4.515 g cm⁻³
E_form (uncorrected) = -1.850 eV/atom
M_tot = 0.00 μB/f.u.

Cell: 5.105 5.105 7.616 Å, 90.00 108.21 90.00°
Space group P2_1/m (No. 11)
Asymmetric unit:
1 Pr 0.250 0.250 0.000 x2
2 Br 0.133 0.750 0.748 x2
3 Cl 0.350 0.750 0.215 x2


(6)
A plane-wave DFT calculation with PBE was carried out for a relaxed Mn2CdSi crystal.

Values from the calculation:
energy relative to the lowest polymorph listed for this composition = 0.184 eV/atom
theoretical density = 7.212 g cm⁻³
E_form (uncorrected) = 0.192 eV/atom
M_tot = 5.33 μB/f.u.

Cell: 3.919 3.919 7.506 Å, 90.00 90.00 90.00°
Space group I4/mmm (No. 139)
Asymmetric unit:
1 Mn 0.000 0.500 0.250 x4
2 Cd 0.000 0.000 0.000 x2
3 Si 0.000 0.000 0.500 x2


(7)
A plane-wave DFT calculation with PBE was carried out for a relaxed Pr12CdRu6 crystal.

Values from the calculation:
theoretical density = 7.404 g cm⁻³
DFT formation energy = -2.81 eV per formula unit
M_tot = 0.00 μB/f.u.

Cell: 10.263 10.263 10.263 Å, 90.00 90.00 90.00°
Space group Im-3 (No. 204)
Asymmetric unit:
1 Pr 0.000 0.197 0.300 x24
2 Cd 0.000 0.000 0.000 x2
3 Ru 0.000 0.380 0.500 x12


(8)
A plane-wave DFT calculation with PBE was carried out for a relaxed LiErScPt crystal.

Values from the calculation:
theoretical density = 8.763 g cm⁻³
DFT formation energy = -2.82 eV per formula unit
M_tot = 0.00 μB/f.u.

Cell: 6.797 6.797 6.797 Å, 90.00 90.00 90.00°
Space group F-43m (No. 216)
Asymmetric unit:
1 Li 0.000 0.000 0.000 x4
2 Er 0.250 0.250 0.750 x4
3 Sc 0.250 0.250 0.250 x4
4 Pt 0.000 0.000 0.500 x4


(9)
A plane-wave DFT calculation with PBE was carried out for a relaxed LaSbOs2 crystal.

Values from the calculation:
theoretical density = 11.146 g cm⁻³
E_form (uncorrected) = 0.187 eV/atom
M_tot = 0.00 μB/f.u.

Cell: 8.291 4.488 5.548 Å, 90.00 112.26 90.00°
Space group C2/m (No. 12)
Asymmetric unit:
1 La 0.000 0.000 0.000 x2
2 Sb 0.000 0.500 0.500 x2
3 Os 0.199 0.000 0.565 x4


(10)
A plane-wave DFT calculation with PBE was carried out for a relaxed RbCrAs2 crystal.

Values from the calculation:
energy relative to the lowest polymorph listed for this composition = 0.043 eV/atom
theoretical density = 4.711 g cm⁻³
DFT formation energy = -0.42 eV per formula unit
M_tot = 2.23 μB/f.u.

Cell: 3.9503 3.9503 22.4812 Å, 90.00 90.00 120.00°
Space group R3m (No. 160, hexagonal axes)
Asymmetric unit:
1 Rb 0.0000 0.0000 0.0000 x3
2 Cr 0.0000 0.0000 0.1714 x3
3 As 0.0000 0.0000 0.5514 x3
4 As 0.0000 0.0000 0.7868 x3


(11)
A plane-wave DFT calculation with PBE was carried out for a relaxed La3Tb2HoAs6 crystal.

Values from the calculation:
theoretical density = 6.871 g cm⁻³
DFT formation energy = -18.55 eV per formula unit
M_tot = 0.00 μB/f.u.

Cell: 7.367 12.758 7.359 Å, 90.00 109.48 90.00°
Space group C2/m (No. 12)
Asymmetric unit:
1 La 0.000 0.000 0.000 x2
2 La 0.000 0.333 0.000 x4
3 Tb 0.000 0.167 0.500 x4
4 Ho 0.000 0.500 0.500 x2
5 As 0.245 0.334 0.737 x8
6 As 0.247 0.000 0.737 x4


(12)
A plane-wave DFT calculation with PBE was carried out for a relaxed Pa3Ga4Ge2 crystal.

Values from the calculation:
theoretical density = 10.025 g cm⁻³
DFT formation energy = -2.56 eV per formula unit
M_tot = 1.38 μB/f.u.

Cell: 7.0867 7.0867 4.2553 Å, 90.00 90.00 120.00°
Space group P-62m (No. 189)
Asymmetric unit:
1 Pa 0.0000 0.6011 0.0000 x3
2 Ga 0.0000 0.0000 0.0000 x1
3 Ga 0.0000 0.2510 0.5000 x3
4 Ge 0.3333 0.6667 0.5000 x2